Record 1
PmDyCdSb after structural relaxation. Source: Alexandria via LeMat-Bulk, functional PBE.

a = 5.3633 Å, b = 5.3633 Å, c = 5.3633 Å
α = 60.00°, β = 60.00°, γ = 60.00°
Atoms (fractional coordinates):
1 Pm 0.0000 0.0000 0.0000
2 Dy 0.5000 0.5000 0.5000
3 Cd 0.2500 0.2500 0.2500
4 Sb 0.7500 0.7500 0.7500

Output
Uncorrected formation energy = -0.54 eV/atom
E = -4.1404 eV/atom
SG = F-43m, No. 216
Volume = 109.1 Å³ per cell

Record 2
PmDyScCd after structural relaxation. Source: Alexandria via LeMat-Bulk, functional PBE.

a = 5.3852 Å, b = 5.3852 Å, c = 5.3852 Å
α = 60.00°, β = 60.00°, γ = 60.00°
Atoms (fractional coordinates):
1 Pm 0.0000 0.0000 0.0000
2 Dy 0.5000 0.5000 0.5000
3 Sc 0.2500 0.2500 0.2500
4 Cd 0.7500 0.7500 0.7500

Output
Distance to the lowest polymorph of the same formula = 0.076 eV/atom
E = -4.2012 eV/atom
SG = F-43m, No. 216
Volume = 110.4 Å³ per cell
Energy of formation from the pure elements = -1.19 kcal/mol of atoms

Record 3
PmDyScCd after structural relaxation. Source: Alexandria via LeMat-Bulk, functional PBE.

a = 3.5416 Å, b = 3.5416 Å, c = 8.8050 Å
α = 90.00°, β = 90.00°, γ = 90.00°
Atoms (fractional coordinates):
1 Pm 0.0000 0.0000 0.0000
2 Dy 0.5000 0.5000 0.7076
3 Sc 0.5000 0.5000 0.2679
4 Cd 0.0000 0.0000 0.4669

Output
Distance to the lowest polymorph of the same formula = 0.000 eV/atom
E = -4.2775 eV/atom
SG = P4mm, No. 99
Volume = 110.4 Å³ per cell
Energy of formation from the pure elements = -2.94 kcal/mol of atoms

Record 4
PmDyCdSn after structural relaxation. Source: Alexandria via LeMat-Bulk, functional PBE.

a = 5.3456 Å, b = 5.3456 Å, c = 5.3456 Å
α = 60.00°, β = 60.00°, γ = 60.00°
Atoms (fractional coordinates):
1 Pm 0.0000 0.0000 0.0000
2 Dy 0.5000 0.5000 0.5000
3 Cd 0.7500 0.7500 0.7500
4 Sn 0.2500 0.2500 0.2500

Output
E = -4.0817 eV/atom
SG = F-43m, No. 216
Volume = 108.0 Å³ per cell
Energy of formation from the pure elements = -11.85 kcal/mol of atoms

Record 5
PmDyCdTc after structural relaxation. Source: Alexandria via LeMat-Bulk, functional PBE.

a = 5.1016 Å, b = 5.1016 Å, c = 5.1016 Å
α = 60.00°, β = 60.00°, γ = 60.00°
Atoms (fractional coordinates):
1 Pm 0.0000 0.0000 0.0000
2 Dy 0.5000 0.5000 0.5000
3 Cd 0.7500 0.7500 0.7500
4 Tc 0.2500 0.2500 0.2500

Output
E = -5.2051 eV/atom
SG = F-43m, No. 216
Volume = 93.9 Å³ per cell
Energy of formation from the pure elements = -1.08 kcal/mol of atoms

Record 6
PmDyTlCd after structural relaxation. Source: Alexandria via LeMat-Bulk, functional PBE.

a = 5.3953 Å, b = 5.3953 Å, c = 5.3953 Å
α = 60.00°, β = 60.00°, γ = 60.00°
Atoms (fractional coordinates):
1 Pm 0.0000 0.0000 0.0000
2 Dy 0.5000 0.5000 0.5000
3 Tl 0.2500 0.2500 0.2500
4 Cd 0.7500 0.7500 0.7500

Output
E = -3.5068 eV/atom
SG = F-43m, No. 216
Volume = 111.1 Å³ per cell
Energy of formation from the pure elements = -8.03 kcal/mol of atoms

Record 7
PmDyTmCd after structural relaxation. Source: Alexandria via LeMat-Bulk, functional PBE.

a = 3.5989 Å, b = 3.5989 Å, c = 9.0256 Å
α = 90.00°, β = 90.00°, γ = 90.00°
Atoms (fractional coordinates):
1 Pm 0.0000 0.0000 0.0000
2 Dy 0.5000 0.5000 0.7204
3 Tm 0.5000 0.5000 0.2761
4 Cd 0.0000 0.0000 0.4940

Output
Distance to the lowest polymorph of the same formula = 0.000 eV/atom
E = -3.8343 eV/atom
SG = P4mm, No. 99
Volume = 116.9 Å³ per cell
Energy of formation from the pure elements = -3.45 kcal/mol of atoms

Record 8
PmDyTmCd after structural relaxation. Source: Alexandria via LeMat-Bulk, functional PBE.

a = 5.4644 Å, b = 5.4644 Å, c = 5.4644 Å
α = 60.00°, β = 60.00°, γ = 60.00°
Atoms (fractional coordinates):
1 Pm 0.0000 0.0000 0.0000
2 Dy 0.5000 0.5000 0.5000
3 Tm 0.7500 0.7500 0.7500
4 Cd 0.2500 0.2500 0.2500

Output
Distance to the lowest polymorph of the same formula = 0.111 eV/atom
E = -3.7237 eV/atom
SG = F-43m, No. 216
Volume = 115.4 Å³ per cell
Energy of formation from the pure elements = -0.90 kcal/mol of atoms

Record 9
PmDyZnCd after structural relaxation. Source: Alexandria via LeMat-Bulk, functional PBE.

a = 3.6387 Å, b = 3.6387 Å, c = 7.6377 Å
α = 90.00°, β = 90.00°, γ = 90.00°
Atoms (fractional coordinates):
1 Pm 0.0000 0.0000 0.0000
2 Dy 0.0000 0.0000 0.4601
3 Zn 0.5000 0.5000 0.2435
4 Cd 0.5000 0.5000 0.7182

Output
Distance to the lowest polymorph of the same formula = 0.000 eV/atom
E = -3.2122 eV/atom
SG = P4mm, No. 99
Volume = 101.1 Å³ per cell
Energy of formation from the pure elements = -7.53 kcal/mol of atoms

Record 10
PmDyZnCd after structural relaxation. Source: Alexandria via LeMat-Bulk, functional PBE.

a = 5.2473 Å, b = 5.2473 Å, c = 5.2473 Å
α = 60.00°, β = 60.00°, γ = 60.00°
Atoms (fractional coordinates):
1 Pm 0.0000 0.0000 0.0000
2 Dy 0.5000 0.5000 0.5000
3 Zn 0.7500 0.7500 0.7500
4 Cd 0.2500 0.2500 0.2500

Output
Distance to the lowest polymorph of the same formula = 0.026 eV/atom
E = -3.1864 eV/atom
SG = F-43m, No. 216
Volume = 102.2 Å³ per cell
Energy of formation from the pure elements = -6.94 kcal/mol of atoms

Record 11
Pr3DyCd8 after structural relaxation. Source: Alexandria via LeMat-Bulk, functional PBE.

a = 10.3660 Å, b = 10.3660 Å, c = 10.3660 Å
α = 33.72°, β = 33.72°, γ = 33.72°
Atoms (fractional coordinates):
1 Pr 0.0000 0.0000 0.0000
2 Pr 0.1247 0.1247 0.1247
3 Pr 0.5004 0.5004 0.5004
4 Dy 0.6246 0.6246 0.6246
5 Cd 0.0605 0.5622 0.5622
6 Cd 0.0627 0.0627 0.5640
7 Cd 0.0627 0.5640 0.0627
8 Cd 0.3124 0.3124 0.3124
9 Cd 0.5622 0.0605 0.5622
10 Cd 0.5622 0.5622 0.0605
11 Cd 0.5640 0.0627 0.0627
12 Cd 0.8123 0.8123 0.8123

Output
E = -2.4817 eV/atom
SG = R3m, No. 160
Volume = 305.8 Å³ per cell
Energy of formation from the pure elements = -6.76 kcal/mol of atoms

Record 12
Pr3Dy4Cd after structural relaxation. Source: Alexandria via LeMat-Bulk, functional PBE.

a = 3.6371 Å, b = 3.6371 Å, c = 19.3160 Å
α = 90.00°, β = 90.00°, γ = 90.00°
Atoms (fractional coordinates):
1 Pr 0.0000 0.0000 0.0000
2 Pr 0.0000 0.0000 0.2649
3 Pr 0.0000 0.0000 0.7351
4 Dy 0.5000 0.5000 0.1323
5 Dy 0.5000 0.5000 0.3961
6 Dy 0.5000 0.5000 0.6039
7 Dy 0.5000 0.5000 0.8677
8 Cd 0.0000 0.0000 0.5000

Output
Distance to the lowest polymorph of the same formula = 0.000 eV/atom
E = -4.2747 eV/atom
SG = P4/mmm, No. 123
Volume = 255.5 Å³ per cell
Energy of formation from the pure elements = -1.54 kcal/mol of atoms

Record 13
PrDyCd after structural relaxation. Source: Alexandria via LeMat-Bulk, functional PBE.

a = 8.1532 Å, b = 8.1532 Å, c = 3.4128 Å
α = 90.00°, β = 90.00°, γ = 95.08°
Atoms (fractional coordinates):
1 Pr 0.2361 0.7639 0.0000
2 Pr 0.7639 0.2361 0.0000
3 Dy 0.0000 0.0000 0.5000
4 Dy 0.5000 0.5000 0.0000
5 Cd 0.2691 0.2691 0.5000
6 Cd 0.7309 0.7309 0.5000

Output
Distance to the lowest polymorph of the same formula = 0.704 eV/atom
E = -2.9231 eV/atom
SG = Cmmm, No. 65
Volume = 226.0 Å³ per cell
Energy of formation from the pure elements = 11.74 kcal/mol of atoms

Record 14
PrDy2Cd after structural relaxation. Source: Alexandria via LeMat-Bulk, functional PBE.

a = 5.4982 Å, b = 5.4982 Å, c = 5.4982 Å
α = 60.00°, β = 60.00°, γ = 60.00°
Atoms (fractional coordinates):
1 Pr 0.0000 0.0000 0.0000
2 Dy 0.2500 0.2500 0.2500
3 Dy 0.7500 0.7500 0.7500
4 Cd 0.5000 0.5000 0.5000

Output
Distance to the lowest polymorph of the same formula = 0.168 eV/atom
E = -3.7031 eV/atom
SG = Fm-3m, No. 225
Volume = 117.5 Å³ per cell
Energy of formation from the pure elements = 0.50 kcal/mol of atoms

Record 15
PrDy4Cd4 after structural relaxation. Source: Alexandria via LeMat-Bulk, functional PBE.

a = 9.5731 Å, b = 9.5731 Å, c = 5.5615 Å
α = 90.00°, β = 90.00°, γ = 90.00°
Atoms (fractional coordinates):
1 Pr 0.2500 0.2500 0.2500
2 Pr 0.7500 0.7500 0.7500
3 Dy 0.0995 0.8251 0.6973
4 Dy 0.1749 0.5995 0.1973
5 Dy 0.3251 0.9005 0.1973
6 Dy 0.4005 0.6749 0.6973
7 Dy 0.5995 0.3251 0.3027
8 Dy 0.6749 0.0995 0.8027
9 Dy 0.8251 0.4005 0.8027
10 Dy 0.9005 0.1749 0.3027
11 Cd 0.0483 0.1463 0.8013
12 Cd 0.1463 0.4517 0.6987
13 Cd 0.3537 0.0483 0.6987
14 Cd 0.4517 0.3537 0.8013
15 Cd 0.5483 0.6463 0.1987
16 Cd 0.6463 0.9517 0.3013
17 Cd 0.8537 0.5483 0.3013
18 Cd 0.9517 0.8537 0.1987

Output
E = -3.1033 eV/atom
SG = P4_2/n, No. 86
Volume = 509.7 Å³ per cell
Energy of formation from the pure elements = -2.77 kcal/mol of atoms

Record 16
Pr4Dy5Cd after structural relaxation. Source: Alexandria via LeMat-Bulk, functional PBE.

a = 3.6439 Å, b = 3.6439 Å, c = 24.3236 Å
α = 90.00°, β = 90.00°, γ = 90.00°
Atoms (fractional coordinates):
1 Pr 0.0000 0.0000 0.1045
2 Pr 0.0000 0.0000 0.3141
3 Pr 0.0000 0.0000 0.6859
4 Pr 0.0000 0.0000 0.8955
5 Dy 0.5000 0.5000 0.0000
6 Dy 0.5000 0.5000 0.2095
7 Dy 0.5000 0.5000 0.4180
8 Dy 0.5000 0.5000 0.5820
9 Dy 0.5000 0.5000 0.7905
10 Cd 0.0000 0.0000 0.5000

Output
Distance to the lowest polymorph of the same formula = 0.000 eV/atom
E = -4.3525 eV/atom
SG = P4/mmm, No. 123
Volume = 323.0 Å³ per cell
Energy of formation from the pure elements = -1.11 kcal/mol of atoms

Record 17
Pr6Dy3Cd after structural relaxation. Source: Alexandria via LeMat-Bulk, functional PBE.

a = 11.2187 Å, b = 5.1708 Å, c = 11.4948 Å
α = 90.00°, β = 91.99°, γ = 90.00°
Atoms (fractional coordinates):
1 Pr 0.0461 0.2500 0.3925
2 Pr 0.1404 0.7500 0.1859
3 Pr 0.1540 0.2500 0.6894
4 Pr 0.2386 0.2500 0.9946
5 Pr 0.3476 0.7500 0.7987
6 Pr 0.4507 0.2500 0.6015
7 Pr 0.5493 0.7500 0.3985
8 Pr 0.6524 0.2500 0.2013
9 Pr 0.7614 0.7500 0.0054
10 Pr 0.8460 0.7500 0.3106
11 Pr 0.8596 0.2500 0.8141
12 Pr 0.9539 0.7500 0.6075
13 Dy 0.2480 0.7500 0.4909
14 Dy 0.3477 0.2500 0.2933
15 Dy 0.4495 0.7500 0.0987
16 Dy 0.5505 0.2500 0.9013
17 Dy 0.6523 0.7500 0.7067
18 Dy 0.7520 0.2500 0.5091
19 Cd 0.0519 0.7500 0.8955
20 Cd 0.9481 0.2500 0.1045

Output
E = -4.3604 eV/atom
SG = P2_1/m, No. 11
Volume = 666.4 Å³ per cell
Energy of formation from the pure elements = -0.47 kcal/mol of atoms

Record 18
Pr6Dy2Cd after structural relaxation. Source: Alexandria via LeMat-Bulk, functional PBE.

a = 6.4720 Å, b = 6.4872 Å, c = 14.6284 Å
α = 93.71°, β = 91.57°, γ = 98.49°
Atoms (fractional coordinates):
1 Pr 0.1103 0.2643 0.4715
2 Pr 0.1679 0.0915 0.9226
3 Pr 0.2650 0.6193 0.0008
4 Pr 0.3673 0.0618 0.1635
5 Pr 0.3746 0.8012 0.3942
6 Pr 0.3868 0.6655 0.6305
7 Pr 0.6132 0.3345 0.3695
8 Pr 0.6254 0.1988 0.6058
9 Pr 0.6327 0.9382 0.8365
10 Pr 0.7350 0.3807 0.9992
11 Pr 0.8321 0.9085 0.0774
12 Pr 0.8897 0.7357 0.5285
13 Dy 0.0321 0.4226 0.2207
14 Dy 0.1098 0.0981 0.6971
15 Dy 0.8902 0.9019 0.3029
16 Dy 0.9679 0.5774 0.7793
17 Cd 0.4682 0.4226 0.8084
18 Cd 0.5318 0.5774 0.1916

Output
Distance to the lowest polymorph of the same formula = 0.005 eV/atom
E = -4.3163 eV/atom
SG = P-1, No. 2
Volume = 605.7 Å³ per cell
Energy of formation from the pure elements = -0.13 kcal/mol of atoms

Record 19
Pr6DyCd3 after structural relaxation. Source: Alexandria via LeMat-Bulk, functional PBE.

a = 10.5932 Å, b = 10.5932 Å, c = 6.9166 Å
α = 90.00°, β = 90.00°, γ = 123.74°
Atoms (fractional coordinates):
1 Pr 0.0529 0.9471 0.5000
2 Pr 0.0927 0.5135 0.8971
3 Pr 0.2675 0.3608 0.6920
4 Pr 0.2782 0.7218 0.4620
5 Pr 0.3608 0.2675 0.1920
6 Pr 0.4865 0.9073 0.8971
7 Pr 0.5135 0.0927 0.3971
8 Pr 0.6392 0.7325 0.6920
9 Pr 0.7218 0.2782 0.9620
10 Pr 0.7325 0.6392 0.1920
11 Pr 0.9073 0.4865 0.3971
12 Pr 0.9471 0.0529 0.0000
13 Dy 0.1452 0.8548 0.0770
14 Dy 0.8548 0.1452 0.5770
15 Cd 0.1102 0.3511 0.2812
16 Cd 0.3511 0.1102 0.7812
17 Cd 0.4073 0.5927 0.1021
18 Cd 0.5927 0.4073 0.6021
19 Cd 0.6489 0.8898 0.2812
20 Cd 0.8898 0.6489 0.7812

Output
E = -3.6788 eV/atom
SG = Cmc2_1, No. 36
Volume = 645.4 Å³ per cell
Energy of formation from the pure elements = -1.76 kcal/mol of atoms

Record 20
PrDyCd3 after structural relaxation. Source: Alexandria via LeMat-Bulk, functional PBE.

a = 15.0486 Å, b = 15.0486 Å, c = 5.0460 Å
α = 90.00°, β = 90.00°, γ = 166.63°
Atoms (fractional coordinates):
1 Pr 0.0752 0.9248 0.7500
2 Pr 0.9248 0.0752 0.2500
3 Dy 0.2145 0.7855 0.2500
4 Dy 0.7855 0.2145 0.7500
5 Cd 0.3223 0.6777 0.2500
6 Cd 0.3768 0.6232 0.7500
7 Cd 0.4757 0.5243 0.7500
8 Cd 0.5243 0.4757 0.2500
9 Cd 0.6232 0.3768 0.2500
10 Cd 0.6777 0.3223 0.7500

Output
E = -2.7344 eV/atom
SG = Cmcm, No. 63
Volume = 264.2 Å³ per cell
Energy of formation from the pure elements = -7.13 kcal/mol of atoms